(1)
Below is Gd2TmBi after structural relaxation, with properties calculated at the GGA-PBE level.

- calculated formation energy (kJ/mol of atoms) = -38
- volume (Å³/f.u.) = 120.91
- distance to the lowest polymorph of the same formula (kJ/mol of atoms) = 0.0
- final energy (eV per cell) = -38.09

Lattice parameters (Å, degrees): 4.1296 4.1296 7.0903 90.00 90.00 90.00
With the nearest neighbours (Å) after each atom.
Positions (direct):
Gd1 0.0000 0.0000 0.2341  1 Gd 3.32, 4 Bi 3.36, 4 Tm 3.48
Gd2 0.0000 0.0000 0.7659  1 Gd 3.32, 4 Bi 3.36, 4 Tm 3.48
Tm1 0.5000 0.5000 0.5000  8 Gd 3.48, 2 Bi 3.55
Bi1 0.5000 0.5000 0.0000  8 Gd 3.36, 2 Tm 3.55

(2)
Below is Gd2YBi after structural relaxation, with properties calculated at the GGA-PBE level.

- calculated formation energy (kJ/mol of atoms) = -39
- volume (Å³/f.u.) = 122.94
- distance to the lowest polymorph of the same formula (kJ/mol of atoms) = 0.0
- final energy (eV per cell) = -40.12

Lattice parameters (Å, degrees): 4.1337 4.1337 7.1948 90.00 90.00 90.00
With the nearest neighbours (Å) after each atom.
Positions (direct):
Gd1 0.0000 0.0000 0.2285  1 Gd 3.29, 4 Bi 3.35, 4 Y 3.52
Gd2 0.0000 0.0000 0.7715  1 Gd 3.29, 4 Bi 3.35, 4 Y 3.52
Y1 0.5000 0.5000 0.5000  8 Gd 3.52, 2 Bi 3.60
Bi1 0.5000 0.5000 0.0000  8 Gd 3.35, 2 Y 3.60